Entry from Alexandria via LeMat-Bulk: Zn2Cu2Ir after structural relaxation (PBE).

Output
energy above the most stable polymorph in this dataset: 148 meV/atom
space group: P4/mbm (127)

abc: 6.992 6.992 2.732
angles: 90.00 90.00 90.00
Fractional positions:
1 Zn 0.174 0.326 0.000
2 Zn 0.326 0.826 0.000
3 Zn 0.674 0.174 0.000
4 Zn 0.826 0.674 0.000
5 Cu 0.124 0.624 0.500
6 Cu 0.376 0.124 0.500
7 Cu 0.624 0.876 0.500
8 Cu 0.876 0.376 0.500
9 Ir 0.000 0.000 0.500
10 Ir 0.500 0.500 0.500



Entry from Alexandria via LeMat-Bulk: Zn4Cu2Ir after structural relaxation (PBE).

Output
energy above the most stable polymorph in this dataset: 0 meV/atom
space group: Cmcm (63)

abc: 4.277 4.277 12.377
angles: 90.00 90.00 119.96
Fractional positions:
1 Zn 0.000 0.000 0.000
2 Zn 0.000 0.000 0.500
3 Zn 0.333 0.667 0.645
4 Zn 0.333 0.667 0.855
5 Zn 0.334 0.666 0.250
6 Zn 0.666 0.334 0.750
7 Zn 0.667 0.333 0.145
8 Zn 0.667 0.333 0.355
9 Cu 0.333 0.667 0.053
10 Cu 0.333 0.667 0.447
11 Cu 0.667 0.333 0.553
12 Cu 0.667 0.333 0.947
13 Ir 0.001 0.999 0.250
14 Ir 0.999 0.001 0.750



Entry from Alexandria via LeMat-Bulk: Zn2Cu6Ir after structural relaxation (PBE).

Output
space group: C2/c (15)

abc: 6.522 6.522 6.706
angles: 114.87 114.87 85.72
Fractional positions:
1 Zn 0.079 0.277 0.425
2 Zn 0.277 0.079 0.925
3 Zn 0.723 0.921 0.075
4 Zn 0.921 0.723 0.575
5 Cu 0.092 0.823 0.035
6 Cu 0.127 0.421 0.864
7 Cu 0.177 0.908 0.465
8 Cu 0.291 0.492 0.303
9 Cu 0.421 0.127 0.364
10 Cu 0.492 0.291 0.803
11 Cu 0.508 0.709 0.197
12 Cu 0.579 0.873 0.636
13 Cu 0.709 0.508 0.697
14 Cu 0.823 0.092 0.535
15 Cu 0.873 0.579 0.136
16 Cu 0.908 0.177 0.965
17 Ir 0.339 0.661 0.750
18 Ir 0.661 0.339 0.250



Entry from Alexandria via LeMat-Bulk: Zn6CuIr after structural relaxation (PBE).

Output
energy above the most stable polymorph in this dataset: 0 meV/atom
space group: Cmmm (65)

abc: 4.273 4.273 7.619
angles: 90.00 90.00 118.39
Fractional positions:
1 Zn 0.000 0.000 0.160
2 Zn 0.000 0.000 0.840
3 Zn 0.333 0.667 0.327
4 Zn 0.333 0.667 0.673
5 Zn 0.667 0.333 0.327
6 Zn 0.667 0.333 0.673
7 Cu 0.500 0.500 0.000
8 Ir 0.000 0.000 0.500



Entry from Alexandria via LeMat-Bulk: Zn2CuIr after structural relaxation (PBE).

Output
space group: R-3m (166)

abc: 8.587 8.587 8.587
angles: 18.48 18.48 18.48
Fractional positions:
1 Zn 0.249 0.249 0.249
2 Zn 0.751 0.751 0.751
3 Cu 0.500 0.500 0.500
4 Ir 0.000 0.000 0.000



Entry from Alexandria via LeMat-Bulk: ZnCu2Ir after structural relaxation (PBE).

Output
space group: P4mm (99)

abc: 3.043 3.043 5.643
angles: 90.00 90.00 90.00
Fractional positions:
1 Zn 0.000 0.000 0.000
2 Cu 0.000 0.000 0.480
3 Cu 0.500 0.500 0.250
4 Ir 0.500 0.500 0.741



Entry from Alexandria via LeMat-Bulk: ZnCuIr after structural relaxation (PBE).

Output
energy above the most stable polymorph in this dataset: 35 meV/atom
space group: Imm2 (44)

abc: 4.619 4.619 4.619
angles: 145.66 132.06 60.29
Fractional positions:
1 Zn 0.000 0.000 0.000
2 Cu 0.670 0.670 0.000
3 Ir 0.334 0.334 0.000



Entry from Alexandria via LeMat-Bulk: Zn2CuIr after structural relaxation (PBE).

Output
space group: Cm (8)

abc: 4.934 4.934 4.379
angles: 112.20 112.20 34.20
Fractional positions:
1 Zn 0.000 0.000 0.000
2 Zn 0.244 0.244 0.623
3 Cu 0.497 0.497 0.500
4 Ir 0.748 0.748 0.124



Entry from Alexandria via LeMat-Bulk: ZnCu2Ir after structural relaxation (PBE).

Output
space group: P2/m (10)

abc: 2.666 3.767 5.260
angles: 90.00 90.45 90.00
Fractional positions:
1 Zn 0.000 0.000 0.000
2 Cu 0.498 0.500 0.249
3 Cu 0.502 0.500 0.751
4 Ir 0.000 0.000 0.500



Entry from Alexandria via LeMat-Bulk: ZnCu2Ir after structural relaxation (PBE).

Output
space group: C2/m (12)

abc: 4.634 4.634 4.450
angles: 101.99 101.99 34.69
Fractional positions:
1 Zn 0.000 0.000 0.000
2 Cu 0.249 0.249 0.748
3 Cu 0.751 0.751 0.252
4 Ir 0.500 0.500 0.500



Entry from Alexandria via LeMat-Bulk: ZnCu2Ir after structural relaxation (PBE).

Output
space group: Immm (71)

abc: 4.995 4.995 4.995
angles: 146.24 129.76 61.90
Fractional positions:
1 Zn 0.000 0.000 0.000
2 Cu 0.244 0.744 0.500
3 Cu 0.756 0.256 0.500
4 Ir 0.500 0.500 0.000



Entry from Alexandria via LeMat-Bulk: ZnCuIr after structural relaxation (PBE).

Output
energy above the most stable polymorph in this dataset: 68 meV/atom
space group: Fmm2 (42)

abc: 6.823 6.584 2.681
angles: 83.51 73.51 22.98
Fractional positions:
1 Zn 0.000 0.000 0.000
2 Cu 0.661 0.661 0.339
3 Ir 0.331 0.331 0.669



Number 1: total moment 0.498 μB/f.u., final energy -3.867 eV per atom, ΔH_f (0 K) 0.05 eV/atom. Number 2: total moment 0.000 μB/f.u., final energy -3.180 eV per atom, ΔH_f (0 K) -0.02 eV/atom. Number 3: total moment 0.000 μB/f.u., final energy -3.986 eV per atom, ΔH_f (0 K) 0.01 eV/atom. Number 4: total moment 0.000 μB/f.u., final energy -2.578 eV per atom, ΔH_f (0 K) 0.00 eV/atom. Number 5: total moment 0.000 μB/f.u., final energy -3.960 eV per atom, ΔH_f (0 K) -0.08 eV/atom. Number 6: total moment 0.000 μB/f.u., final energy -4.592 eV per atom, ΔH_f (0 K) -0.01 eV/atom. Number 7: total moment 0.000 μB/f.u., final energy -4.746 eV per atom, ΔH_f (0 K) 0.00 eV/atom. Number 8: total moment 0.000 μB/f.u., final energy -4.008 eV per atom, ΔH_f (0 K) -0.13 eV/atom. Number 9: total moment 0.000 μB/f.u., final energy -4.562 eV per atom, ΔH_f (0 K) 0.02 eV/atom. Number 10: total moment 0.000 μB/f.u., final energy -4.595 eV per atom, ΔH_f (0 K) -0.01 eV/atom. Number 11: total moment 0.000 μB/f.u., final energy -4.590 eV per atom, ΔH_f (0 K) -0.01 eV/atom. Number 12: total moment 0.000 μB/f.u., final energy -4.713 eV per atom, ΔH_f (0 K) 0.03 eV/atom.